Below is crystalline Mg2Te at its relaxed geometry, with properties calculated at the GGA-PBE level.

M_tot   0.00 μB per formula unit
V   149.6 Å³ per cell
N(E_F)   0.55 states/eV/atom
Total energy   -2.214 eV/atom

a = 5.959 Å, b = 5.959 Å, c = 5.959 Å
α = 60.00°, β = 60.00°, γ = 60.00°
Atoms (fractional coordinates):
Mg  0.000  0.000  0.000
Mg  0.000  0.000  0.500
Mg  0.000  0.500  0.000
Mg  0.500  0.000  0.000
Te  0.375  0.375  0.375
Te  0.625  0.625  0.625

---

Below is crystalline NbGaP2Cl at its relaxed geometry, with properties calculated at the GGA-PBE level.

M_tot   0.00 μB per formula unit
V   99.2 Å³ per cell
Excess energy over the best structure of this formula in the dataset   854 meV/atom
N(E_F)   1.43 states/eV/atom
Total energy   -4.323 eV/atom

a = 4.630 Å, b = 4.630 Å, c = 4.628 Å
α = 90.00°, β = 90.00°, γ = 90.00°
Atoms (fractional coordinates):
Nb  0.000  0.000  0.000
Ga  0.500  0.500  0.500
P  0.000  0.500  0.500
P  0.500  0.000  0.500
Cl  0.500  0.500  0.000

---

Below is crystalline NdCdRh at its relaxed geometry, with properties calculated at the GGA-PBE level.

M_tot   0.00 μB per formula unit
V   139.9 Å³ per cell
N(E_F)   0.79 states/eV/atom
Total energy   -4.842 eV/atom
Calculated formation energy   -0.50 eV/atom

a = 6.199 Å, b = 6.199 Å, c = 5.318 Å
α = 99.40°, β = 99.40°, γ = 44.05°
Atoms (fractional coordinates):
Nd  0.133  0.133  0.308
Nd  0.867  0.867  0.692
Cd  0.420  0.420  0.228
Cd  0.580  0.580  0.772
Rh  0.216  0.216  0.836
Rh  0.784  0.784  0.164